First-principles (GGA-PBE) data for Tl2Se after structural relaxation, as listed in Alexandria via LeMat-Bulk.

The structure in extended XYZ format:
```
12
Lattice="7.301 0.000 0.000 0.000 4.495 0.000 0.000 0.000 12.556" Properties=species:S:1:pos:R:3 pbc="T T T"
Tl 0.340 1.124 1.858
Tl 0.937 3.372 4.746
Tl 2.713 1.124 11.024
Tl 3.311 3.372 8.136
Tl 3.990 1.124 4.420
Tl 4.588 3.372 1.531
Tl 6.363 1.124 7.809
Tl 6.961 3.372 10.698
Se 1.798 3.372 0.418
Se 1.853 1.124 6.696
Se 5.448 3.372 5.860
Se 5.503 1.124 12.137
```

- space-group type = Pnma (62)
- formation energy without anion corrections (meV/atom) = -369
- electronic total energy (eV per cell) = -37.29
- relative energy among the computed polymorphs (meV/atom) = 4